La3Pm2Er4 | Alexandria | PBE-GGA | optimized geometry; VASP energy = -4.627 eV per atom; polymorph energy (0 for the lowest one) = 71 meV/atom; energy relative to the elements = 0.89 eV per formula unit
1.0
5.8405 1.6832 1.2051
2.0614 11.1097 0.6452
2.0614 4.1904 10.3093
Er La Pm
8 6 4
Direct
0.4269 0.9397 0.1732
0.9269 0.1732 0.9397
0.5973 0.3885 0.1535
0.5731 0.0603 0.8268
0.0731 0.8268 0.0603
0.9027 0.8465 0.6115
0.0973 0.1535 0.3885
0.4027 0.6115 0.8465
0.2500 0.6231 0.3769
0.7500 0.3769 0.6231
0.2699 0.3026 0.0205
0.7301 0.6974 0.9795
0.7699 0.0205 0.3026
0.2301 0.9795 0.6974
0.4366 0.2530 0.5184
0.9366 0.5184 0.2530
0.5634 0.7470 0.4816
0.0634 0.4816 0.7470